Density functional theory data (PBE with a Hubbard U) for crystalline MoSeNO2 at its relaxed geometry.

abc: 3.7903 3.7903 4.2653
angles: 90.00 90.00 90.00
Closest atoms and distances in Å follow each position.
Space group P4/mmm (No. 123)
Unique sites:
1 Mo 0.0000 0.0000 0.0000  4 N 2.68, 8 O 2.85
2 Se 0.5000 0.5000 0.5000  4 O 1.90
3 N 0.5000 0.5000 0.0000  2 Se 2.13
4 O 0.0000 0.5000 0.5000  2 Se 1.90

## Properties
Uncorrected energy, eV per atom: -5.279